DFT (PBE-GGA) results for an optimized crystal structure of Mg2TaW.

Results
SG   R-3m
Relative energy among the computed polymorphs   234.9 meV per atom
ΔH_f (0 K)   1.74 eV per formula unit

Lattice parameters (Å, degrees): 2.891 2.891 30.227 90.00 90.00 120.00
Atoms (fractional coordinates):
1 Mg 0.000 0.000 0.247
2 Mg 0.000 0.000 0.753
3 Mg 0.333 0.667 0.420
4 Mg 0.333 0.667 0.914
5 Mg 0.667 0.333 0.086
6 Mg 0.667 0.333 0.580
7 Ta 0.000 0.000 0.000
8 Ta 0.333 0.667 0.667
9 Ta 0.667 0.333 0.333
10 W 0.000 0.000 0.500
11 W 0.333 0.667 0.167
12 W 0.667 0.333 0.833